Entry 1:
Material: CaTcH2
Method: DFT, PBE
State: optimized geometry

Polymorph energy (0 for the lowest one) ... 0 meV per atom
Crystal system ... tetragonal

The structure in CIF format:
```
data_CaTcH2
_chemical_formula_sum 'Ca4 Tc4 H8'
_cell_length_a 5.163
_cell_length_b 5.163
_cell_length_c 7.063
_cell_angle_alpha 90.00
_cell_angle_beta 90.00
_cell_angle_gamma 90.00
_symmetry_space_group_name_H-M 'I -4 2 d'
_symmetry_Int_Tables_number 122
_symmetry_space_group_name_Hall 'I -4 2bw'
loop_
_atom_site_label
_atom_site_fract_x
_atom_site_fract_y
_atom_site_fract_z
_atom_site_occupancy
Ca1 0.000 0.000 0.000 1
Tc1 0.000 0.000 0.500 1
H1 0.174 0.250 0.625 1
```



Entry 2:
Material: CaVTc2H
Method: DFT, PBE
State: optimized geometry

Crystal system ... tetragonal
Raw total energy ... -6.427 eV/atom

The structure in CIF format:
```
data_CaVTc2H
_chemical_formula_sum 'Ca1 V1 Tc2 H1'
_cell_length_a 4.153
_cell_length_b 4.153
_cell_length_c 4.045
_cell_angle_alpha 90.00
_cell_angle_beta 90.00
_cell_angle_gamma 90.00
_symmetry_space_group_name_H-M 'P 4/m m m'
_symmetry_Int_Tables_number 123
_symmetry_space_group_name_Hall '-P 4 2'
loop_
_atom_site_label
_atom_site_fract_x
_atom_site_fract_y
_atom_site_fract_z
_atom_site_occupancy
Ca1 0.000 0.000 0.000 1
V1 0.500 0.500 0.000 1
Tc1 0.000 0.500 0.500 1
H1 0.000 0.000 0.500 1
```



Entry 3:
Material: CaTe3H
Method: DFT, PBE
State: optimized geometry

Polymorph energy (0 for the lowest one) ... 0 meV per atom
Crystal system ... cubic

The structure in CIF format:
```
data_CaTe3H
_chemical_formula_sum 'Ca1 Te3 H1'
_cell_length_a 4.934
_cell_length_b 4.934
_cell_length_c 4.934
_cell_angle_alpha 90.00
_cell_angle_beta 90.00
_cell_angle_gamma 90.00
_symmetry_space_group_name_H-M 'P m -3 m'
_symmetry_Int_Tables_number 221
_symmetry_space_group_name_Hall '-P 4 2 3'
loop_
_atom_site_label
_atom_site_fract_x
_atom_site_fract_y
_atom_site_fract_z
_atom_site_occupancy
Ca1 0.000 0.000 0.000 1
Te1 0.000 0.500 0.500 1
H1 0.500 0.500 0.500 1
```



Entry 4:
Material: Ca2TeH2
Method: DFT, PBE
State: optimized geometry

Polymorph energy (0 for the lowest one) ... 0 meV per atom
Crystal system ... tetragonal

The structure in CIF format:
```
data_Ca2TeH2
_chemical_formula_sum 'Ca4 Te2 H4'
_cell_length_a 3.961
_cell_length_b 3.961
_cell_length_c 12.063
_cell_angle_alpha 90.00
_cell_angle_beta 90.00
_cell_angle_gamma 90.00
_symmetry_space_group_name_H-M 'I 4/m m m'
_symmetry_Int_Tables_number 139
_symmetry_space_group_name_Hall '-I 4 2'
loop_
_atom_site_label
_atom_site_fract_x
_atom_site_fract_y
_atom_site_fract_z
_atom_site_occupancy
Ca1 0.000 0.000 0.150 1
Te1 0.000 0.000 0.500 1
H1 0.000 0.500 0.250 1
```



Entry 5:
Material: CaTeH3
Method: DFT, PBE
State: optimized geometry

Polymorph energy (0 for the lowest one) ... 0 meV per atom
Crystal system ... cubic

The structure in CIF format:
```
data_CaTeH3
_chemical_formula_sum 'Ca1 Te1 H3'
_cell_length_a 4.128
_cell_length_b 4.128
_cell_length_c 4.128
_cell_angle_alpha 90.00
_cell_angle_beta 90.00
_cell_angle_gamma 90.00
_symmetry_space_group_name_H-M 'P m -3 m'
_symmetry_Int_Tables_number 221
_symmetry_space_group_name_Hall '-P 4 2 3'
loop_
_atom_site_label
_atom_site_fract_x
_atom_site_fract_y
_atom_site_fract_z
_atom_site_occupancy
Ca1 0.000 0.000 0.000 1
Te1 0.500 0.500 0.500 1
H1 0.000 0.000 0.500 1
```



Entry 6:
Material: Ca2TeH2
Method: DFT, PBE
State: optimized geometry

Polymorph energy (0 for the lowest one) ... 535 meV per atom
Crystal system ... tetragonal

The structure in CIF format:
```
data_Ca2TeH2
_chemical_formula_sum 'Ca4 Te2 H4'
_cell_length_a 7.472
_cell_length_b 7.472
_cell_length_c 3.430
_cell_angle_alpha 90.00
_cell_angle_beta 90.00
_cell_angle_gamma 90.00
_symmetry_space_group_name_H-M 'P 4/m b m'
_symmetry_Int_Tables_number 127
_symmetry_space_group_name_Hall '-P 4 2ab'
loop_
_atom_site_label
_atom_site_fract_x
_atom_site_fract_y
_atom_site_fract_z
_atom_site_occupancy
Ca1 0.155 0.345 0.000 1
Te1 0.000 0.000 0.500 1
H1 0.101 0.601 0.500 1
```



Entry 7:
Material: CaTe2H2
Method: DFT, PBE
State: optimized geometry

Crystal system ... tetragonal
Raw total energy ... -2.954 eV/atom

The structure in CIF format:
```
data_CaTe2H2
_chemical_formula_sum 'Ca2 Te4 H4'
_cell_length_a 3.916
_cell_length_b 3.916
_cell_length_c 12.800
_cell_angle_alpha 90.00
_cell_angle_beta 90.00
_cell_angle_gamma 90.00
_symmetry_space_group_name_H-M 'I 4/m m m'
_symmetry_Int_Tables_number 139
_symmetry_space_group_name_Hall '-I 4 2'
loop_
_atom_site_label
_atom_site_fract_x
_atom_site_fract_y
_atom_site_fract_z
_atom_site_occupancy
Ca1 0.000 0.000 0.000 1
Te1 0.000 0.000 0.354 1
H1 0.000 0.500 0.250 1
```



Entry 8:
Material: Ca2TeH
Method: DFT, PBE
State: optimized geometry

Polymorph energy (0 for the lowest one) ... 293 meV per atom
Crystal system ... cubic

The structure in CIF format:
```
data_Ca2TeH
_chemical_formula_sum 'Ca8 Te4 H4'
_cell_length_a 7.346
_cell_length_b 7.346
_cell_length_c 7.346
_cell_angle_alpha 90.00
_cell_angle_beta 90.00
_cell_angle_gamma 90.00
_symmetry_space_group_name_H-M 'F m -3 m'
_symmetry_Int_Tables_number 225
_symmetry_space_group_name_Hall '-F 4 2 3'
loop_
_atom_site_label
_atom_site_fract_x
_atom_site_fract_y
_atom_site_fract_z
_atom_site_occupancy
Ca1 0.250 0.250 0.250 1
Te1 0.000 0.000 0.000 1
H1 0.000 0.000 0.500 1
```



Entry 9:
Material: CaTeH
Method: DFT, PBE
State: optimized geometry

Crystal system ... orthorhombic
Raw total energy ... -3.404 eV/atom

The structure in CIF format:
```
data_CaTeH
_chemical_formula_sum 'Ca2 Te2 H2'
_cell_length_a 3.392
_cell_length_b 3.405
_cell_length_c 11.241
_cell_angle_alpha 90.00
_cell_angle_beta 90.00
_cell_angle_gamma 90.00
_symmetry_space_group_name_H-M 'I m m 2'
_symmetry_Int_Tables_number 44
loop_
_symmetry_equiv_pos_as_xyz
'x,y,z'
'-x,-y,z'
'-x,y,z'
'x,-y,z'
'x+1/2,y+1/2,z+1/2'
'-x+1/2,-y+1/2,z+1/2'
'-x+1/2,y+1/2,z+1/2'
'x+1/2,-y+1/2,z+1/2'
loop_
_atom_site_label
_atom_site_fract_x
_atom_site_fract_y
_atom_site_fract_z
_atom_site_occupancy
Ca1 0.000 0.000 0.000 1
Te1 0.000 0.500 0.250 1
H1 0.000 0.000 0.500 1
```



Entry 10:
Material: CaTeH2
Method: DFT, PBE
State: optimized geometry

Polymorph energy (0 for the lowest one) ... 608 meV per atom
Crystal system ... tetragonal

The structure in CIF format:
```
data_CaTeH2
_chemical_formula_sum 'Ca4 Te4 H8'
_cell_length_a 4.379
_cell_length_b 4.379
_cell_length_c 14.712
_cell_angle_alpha 90.00
_cell_angle_beta 90.00
_cell_angle_gamma 90.00
_symmetry_space_group_name_H-M 'I -4 2 d'
_symmetry_Int_Tables_number 122
_symmetry_space_group_name_Hall 'I -4 2bw'
loop_
_atom_site_label
_atom_site_fract_x
_atom_site_fract_y
_atom_site_fract_z
_atom_site_occupancy
Ca1 0.000 0.000 0.000 1
Te1 0.000 0.000 0.500 1
H1 0.237 0.250 0.625 1
```



Entry 11:
Material: Ca3TeH
Method: DFT, PBE
State: optimized geometry

Polymorph energy (0 for the lowest one) ... 0 meV per atom
Crystal system ... cubic

The structure in CIF format:
```
data_Ca3TeH
_chemical_formula_sum 'Ca3 Te1 H1'
_cell_length_a 5.057
_cell_length_b 5.057
_cell_length_c 5.057
_cell_angle_alpha 90.00
_cell_angle_beta 90.00
_cell_angle_gamma 90.00
_symmetry_space_group_name_H-M 'P m -3 m'
_symmetry_Int_Tables_number 221
_symmetry_space_group_name_Hall '-P 4 2 3'
loop_
_atom_site_label
_atom_site_fract_x
_atom_site_fract_y
_atom_site_fract_z
_atom_site_occupancy
Ca1 0.000 0.000 0.500 1
Te1 0.500 0.500 0.500 1
H1 0.000 0.000 0.000 1
```



Entry 12:
Material: CaTeH2
Method: DFT, PBE
State: optimized geometry

Polymorph energy (0 for the lowest one) ... 588 meV per atom
Crystal system ... cubic

The structure in CIF format:
```
data_CaTeH2
_chemical_formula_sum 'Ca4 Te4 H8'
_cell_length_a 6.300
_cell_length_b 6.300
_cell_length_c 6.300
_cell_angle_alpha 90.00
_cell_angle_beta 90.00
_cell_angle_gamma 90.00
_symmetry_space_group_name_H-M 'F m -3 m'
_symmetry_Int_Tables_number 225
_symmetry_space_group_name_Hall '-F 4 2 3'
loop_
_atom_site_label
_atom_site_fract_x
_atom_site_fract_y
_atom_site_fract_z
_atom_site_occupancy
Ca1 0.000 0.000 0.000 1
Te1 0.000 0.000 0.500 1
H1 0.250 0.250 0.250 1
```



Number 1: total magnetization 0.0 μB/f.u., calculated volume 11.76 Å³/atom. Number 2: total magnetization 0.0 μB/f.u., calculated volume 13.95 Å³/atom. Number 3: total magnetization 0.0 μB/f.u., calculated volume 24.02 Å³/atom. Number 4: total magnetization 0.0 μB/f.u., calculated volume 18.92 Å³/atom. Number 5: total magnetization 0.0 μB/f.u., calculated volume 14.07 Å³/atom. Number 6: total magnetization 0.0 μB/f.u., calculated volume 19.15 Å³/atom. Number 7: total magnetization 0.0 μB/f.u., calculated volume 19.63 Å³/atom. Number 8: total magnetization 1.0 μB/f.u., calculated volume 24.78 Å³/atom. Number 9: total magnetization 0.0 μB/f.u., calculated volume 21.64 Å³/atom. Number 10: total magnetization 0.0 μB/f.u., calculated volume 17.63 Å³/atom. Number 11: total magnetization 0.0 μB/f.u., calculated volume 25.87 Å³/atom. Number 12: total magnetization 0.0 μB/f.u., calculated volume 15.63 Å³/atom.